(w)
The following is a DFT calculation (PBE) of a relaxed Si5Mo crystal. Values from VASP.

Computed properties:
- calculated volume (Å³/atom) = 14.3
- density of states at the Fermi level (states/eV/atom) = 0.47

```
&SYSTEM
  ibrav = 0, nat = 6, ntyp = 2
/
ATOMIC_SPECIES
Si 28.09 Si.upf
Mo 95.94 Mo.upf
ATOMIC_POSITIONS crystal
Si 0.000 0.000 0.000
Si 0.000 0.323 0.323
Si 0.000 0.658 0.658
Si 0.500 0.106 0.106
Si 0.500 0.435 0.435
Mo 0.500 0.767 0.767
CELL_PARAMETERS angstrom
4.287 0.000 0.000
0.000 1.579 6.344
0.000 -1.579 6.344
```



(x)
The following is a DFT calculation (PBE) of a relaxed Si5Mo crystal. Values from VASP.

Computed properties:
- calculated volume (Å³/atom) = 14.6
- density of states at the Fermi level (states/eV/atom) = 0.77

```
&SYSTEM
  ibrav = 0, nat = 6, ntyp = 2
/
ATOMIC_SPECIES
Si 28.09 Si.upf
Mo 95.94 Mo.upf
ATOMIC_POSITIONS crystal
Si 0.000 0.000 0.000
Si 0.000 0.000 0.343
Si 0.000 0.000 0.657
Si 0.500 0.500 0.169
Si 0.500 0.500 0.831
Mo 0.500 0.500 0.500
CELL_PARAMETERS angstrom
2.841 0.000 0.000
0.000 2.841 0.000
0.000 0.000 10.834
```



(w) (161 meV per atom below the next structure)



(w)
The following is a DFT calculation (PBE) of a relaxed Si3Mo5 crystal. Values from VASP.

Computed properties:
- calculated volume (Å³/atom) = 14.6
- density of states at the Fermi level (states/eV/atom) = 0.96

```
&SYSTEM
  ibrav = 0, nat = 8, ntyp = 2
/
ATOMIC_SPECIES
Si 28.09 Si.upf
Mo 95.94 Mo.upf
ATOMIC_POSITIONS crystal
Si 0.000 0.000 0.000
Si 0.277 0.723 0.500
Si 0.723 0.277 0.500
Mo 0.000 0.500 0.000
Mo 0.211 0.211 0.500
Mo 0.500 0.000 0.000
Mo 0.500 0.500 0.000
Mo 0.789 0.789 0.500
CELL_PARAMETERS angstrom
3.164 -4.262 0.000
3.164 4.262 0.000
0.000 0.000 4.332
```



(x)
The following is a DFT calculation (PBE) of a relaxed Si3Mo5 crystal. Values from VASP.

Computed properties:
- calculated volume (Å³/atom) = 14.6
- density of states at the Fermi level (states/eV/atom) = 0.82

```
&SYSTEM
  ibrav = 0, nat = 16, ntyp = 2
/
ATOMIC_SPECIES
Si 28.09 Si.upf
Mo 95.94 Mo.upf
ATOMIC_POSITIONS crystal
Si 0.000 0.394 0.250
Si 0.000 0.606 0.750
Si 0.394 0.000 0.250
Si 0.394 0.394 0.750
Si 0.606 0.000 0.750
Si 0.606 0.606 0.250
Mo 0.000 0.239 0.750
Mo 0.000 0.761 0.250
Mo 0.239 0.000 0.750
Mo 0.239 0.239 0.250
Mo 0.333 0.667 0.000
Mo 0.333 0.667 0.500
Mo 0.667 0.333 0.000
Mo 0.667 0.333 0.500
Mo 0.761 0.000 0.250
Mo 0.761 0.761 0.750
CELL_PARAMETERS angstrom
7.297 0.000 0.000
-3.648 6.319 0.000
0.000 0.000 5.077
```



(x) (190 meV per atom below the next structure)



(w)
The following is a DFT calculation (PBE) of a relaxed SiMo4 crystal. Values from VASP.

Computed properties:
- calculated volume (Å³/atom) = 17.6
- density of states at the Fermi level (states/eV/atom) = 1.40

```
&SYSTEM
  ibrav = 0, nat = 5, ntyp = 2
/
ATOMIC_SPECIES
Si 28.09 Si.upf
Mo 95.94 Mo.upf
ATOMIC_POSITIONS crystal
Si 0.000 0.000 0.000
Mo 0.000 0.000 0.500
Mo 0.000 0.500 0.000
Mo 0.500 0.000 0.000
Mo 0.500 0.500 0.500
CELL_PARAMETERS angstrom
4.447 0.000 0.000
0.000 4.447 0.000
0.000 0.000 4.447
```



(x)
The following is a DFT calculation (PBE) of a relaxed SiMo4 crystal. Values from VASP.

Computed properties:
- calculated volume (Å³/atom) = 15.1
- density of states at the Fermi level (states/eV/atom) = 0.27

```
&SYSTEM
  ibrav = 0, nat = 5, ntyp = 2
/
ATOMIC_SPECIES
Si 28.09 Si.upf
Mo 95.94 Mo.upf
ATOMIC_POSITIONS crystal
Si 0.000 0.000 0.000
Mo 0.199 0.605 0.804
Mo 0.395 0.199 0.595
Mo 0.605 0.801 0.405
Mo 0.801 0.395 0.196
CELL_PARAMETERS angstrom
-3.441 3.441 1.598
3.441 -3.441 1.598
3.441 3.441 -1.598
```



(x) (1231 meV per atom below the next structure)



(w)
The following is a DFT calculation (PBE) of a relaxed SiMo4 crystal. Values from VASP.

Computed properties:
- calculated volume (Å³/atom) = 17.9
- density of states at the Fermi level (states/eV/atom) = 1.42

```
&SYSTEM
  ibrav = 0, nat = 5, ntyp = 2
/
ATOMIC_SPECIES
Si 28.09 Si.upf
Mo 95.94 Mo.upf
ATOMIC_POSITIONS crystal
Si 0.000 0.000 0.000
Mo 0.000 0.000 0.500
Mo 0.000 0.500 0.000
Mo 0.500 0.000 0.000
Mo 0.500 0.500 0.500
CELL_PARAMETERS angstrom
-2.816 2.816 2.816
2.816 -2.816 2.816
2.816 2.816 -2.816
```



(x)
The following is a DFT calculation (PBE) of a relaxed SiMo4 crystal. Values from VASP.

Computed properties:
- calculated volume (Å³/atom) = 18.5
- density of states at the Fermi level (states/eV/atom) = 0.82

```
&SYSTEM
  ibrav = 0, nat = 5, ntyp = 2
/
ATOMIC_SPECIES
Si 28.09 Si.upf
Mo 95.94 Mo.upf
ATOMIC_POSITIONS crystal
Si 0.000 0.000 0.000
Mo 0.250 0.750 0.500
Mo 0.387 0.387 0.000
Mo 0.613 0.613 0.000
Mo 0.750 0.250 0.500
CELL_PARAMETERS angstrom
-2.028 2.028 5.619
2.028 -2.028 5.619
2.028 2.028 -5.619
```



(x) (113 meV per atom below the next structure)



(w)
The following is a DFT calculation (PBE) of a relaxed Si3Mo4 crystal. Values from VASP.

Computed properties:
- calculated volume (Å³/atom) = 14.1
- density of states at the Fermi level (states/eV/atom) = 0.43

```
&SYSTEM
  ibrav = 0, nat = 7, ntyp = 2
/
ATOMIC_SPECIES
Si 28.09 Si.upf
Mo 95.94 Mo.upf
ATOMIC_POSITIONS crystal
Si 0.000 0.500 0.000
Si 0.500 0.000 0.000
Si 0.500 0.500 0.000
Mo 0.000 0.000 0.247
Mo 0.000 0.000 0.753
Mo 0.333 0.667 0.500
Mo 0.667 0.333 0.500
CELL_PARAMETERS angstrom
4.862 0.000 0.000
-2.431 4.210 0.000
0.000 0.000 4.825
```



(x)
The following is a DFT calculation (PBE) of a relaxed Si3Mo4 crystal. Values from VASP.

Computed properties:
- calculated volume (Å³/atom) = 14.4
- density of states at the Fermi level (states/eV/atom) = 0.85

```
&SYSTEM
  ibrav = 0, nat = 7, ntyp = 2
/
ATOMIC_SPECIES
Si 28.09 Si.upf
Mo 95.94 Mo.upf
ATOMIC_POSITIONS crystal
Si 0.000 0.000 0.000
Si 0.285 0.285 0.000
Si 0.715 0.715 0.000
Mo 0.152 0.152 0.000
Mo 0.431 0.431 0.000
Mo 0.569 0.569 0.000
Mo 0.848 0.848 0.000
CELL_PARAMETERS angstrom
-1.595 1.595 9.887
1.595 -1.595 9.887
1.595 1.595 -9.887
```



(x) (207 meV per atom below the next structure)



(w)
The following is a DFT calculation (PBE) of a relaxed Si5Mo3 crystal. Values from VASP.

Computed properties:
- calculated volume (Å³/atom) = 15.1
- density of states at the Fermi level (states/eV/atom) = 0.60

```
&SYSTEM
  ibrav = 0, nat = 16, ntyp = 2
/
ATOMIC_SPECIES
Si 28.09 Si.upf
Mo 95.94 Mo.upf
ATOMIC_POSITIONS crystal
Si 0.000 0.000 0.000
Si 0.072 0.314 0.825
Si 0.099 0.799 0.370
Si 0.314 0.072 0.825
Si 0.374 0.624 0.425
Si 0.551 0.867 0.901
Si 0.586 0.586 0.132
Si 0.624 0.374 0.425
Si 0.799 0.099 0.370
Si 0.867 0.551 0.901
Mo 0.100 0.598 0.630
Mo 0.328 0.931 0.132
Mo 0.443 0.443 0.727
Mo 0.598 0.100 0.630
Mo 0.837 0.837 0.548
Mo 0.931 0.328 0.132
CELL_PARAMETERS angstrom
3.205 -6.257 0.000
3.205 6.257 0.000
-3.199 0.000 6.027
```



(x)
The following is a DFT calculation (PBE) of a relaxed Si5Mo3 crystal. Values from VASP.

Computed properties:
- calculated volume (Å³/atom) = 14.7
- density of states at the Fermi level (states/eV/atom) = 0.59

```
&SYSTEM
  ibrav = 0, nat = 16, ntyp = 2
/
ATOMIC_SPECIES
Si 28.09 Si.upf
Mo 95.94 Mo.upf
ATOMIC_POSITIONS crystal
Si 0.000 0.228 0.250
Si 0.000 0.772 0.750
Si 0.228 0.000 0.250
Si 0.228 0.228 0.750
Si 0.333 0.667 0.000
Si 0.333 0.667 0.500
Si 0.667 0.333 0.000
Si 0.667 0.333 0.500
Si 0.772 0.000 0.750
Si 0.772 0.772 0.250
Mo 0.000 0.378 0.750
Mo 0.000 0.622 0.250
Mo 0.378 0.000 0.750
Mo 0.378 0.378 0.250
Mo 0.622 0.000 0.250
Mo 0.622 0.622 0.750
CELL_PARAMETERS angstrom
7.528 0.000 0.000
-3.764 6.519 0.000
0.000 0.000 4.787
```



(y)
The following is a DFT calculation (PBE) of a relaxed Si5Mo3 crystal. Values from VASP.

Computed properties:
- calculated volume (Å³/atom) = 14.0
- density of states at the Fermi level (states/eV/atom) = 0.68

```
&SYSTEM
  ibrav = 0, nat = 8, ntyp = 2
/
ATOMIC_SPECIES
Si 28.09 Si.upf
Mo 95.94 Mo.upf
ATOMIC_POSITIONS crystal
Si 0.000 0.000 0.000
Si 0.000 0.500 0.000
Si 0.307 0.307 0.500
Si 0.500 0.000 0.000
Si 0.693 0.693 0.500
Mo 0.207 0.793 0.500
Mo 0.500 0.500 0.000
Mo 0.793 0.207 0.500
CELL_PARAMETERS angstrom
3.378 -3.809 0.000
3.378 3.809 0.000
0.000 0.000 4.360
```



(w) (41 meV per atom below the next structure)